## CrRuIO2 (PBE+U)

Data for a geometry-optimized CrRuIO2 structure.

SG: P4/mmm (123)
energy relative to the lowest polymorph listed for this composition: 560.0 meV/atom

extended XYZ file:
```
5
Lattice="-3.063 1.108 -1.743 1.640 -0.590 -3.257 -2.003 -5.545 -0.005" Properties=species:S:1:pos:R:3 pbc="T T T"
Cr 0.000 0.000 0.000
O 0.820 -0.295 -1.629
O -1.531 0.554 -0.872
Ru -1.713 -2.513 -2.502
I -1.002 -2.772 -0.002
```